Below is BaNp2F11 after structural relaxation, with properties calculated at the PBE level.

It has space group Ibam (No. 72), with a = 8.622 Å, b = 10.687 Å, c = 12.235 Å, α = 90.00°, β = 90.00° and γ = 90.00°. Symmetry generates all atoms from Ba at (0.000, 0.000, 0.250), Np at (0.147, 0.322, 0.000), F at (0.000, 0.500, 0.000), F at (0.087, 0.197, 0.128), F at (0.141, 0.283, 0.500) and F at (0.241, 0.072, 0.378).

The uncorrected formation energy comes out at -3.5263 eV/atom.